# Ac4PrTl7

A geometry-optimized Ac4PrTl7 structure (PBE, Alexandria).

Structure (POSCAR):
```
Ac4PrTl7
1.0
-1.454 -3.276 -4.847
-5.067 -8.887 3.777
-6.854 1.519 -2.719
Tl Ac Pr
7 4 1
direct
0.628 0.472 0.271
0.213 0.087 0.486
0.372 0.528 0.729
0.787 0.913 0.514
0.500 0.000 0.000
0.915 0.314 0.857
0.085 0.686 0.143
0.586 0.221 0.606
0.742 0.666 0.849
0.414 0.779 0.394
0.258 0.334 0.151
0.000 0.000 0.000
```

## Properties
Symmetry   C2/m
ΔE_f   -2.3 eV per formula unit
M_tot   0.0 μB/f.u.
Calculated volume   36.31 A^3/atom
N(E_F)   0.733 states/eV/atom